# 1
Compound: Pr5In2Te2
Source: Alexandria
Functional: GGA-PBE
Structure: relaxed

Summary:
Calculated volume ... 31.98 Å³ per atom
ΔE_f (raw) ... -8.0 eV/f.u.
Spin magnetization ... 0.00 μB/atom

CIF file:
```
data_Pr5In2Te2
_chemical_formula_sum 'Pr20 In8 Te8'
_symmetry_space_group_name_H-M 'C m c e'
_symmetry_Int_Tables_number 64
_symmetry_space_group_name_Hall '-C 2ac 2'
_cell_length_a 16.1937
_cell_length_b 8.4358
_cell_length_c 8.4286
_cell_angle_alpha 90.00
_cell_angle_beta 90.00
_cell_angle_gamma 90.00
loop_
_atom_site_label
_atom_site_type_symbol
_atom_site_fract_x
_atom_site_fract_y
_atom_site_fract_z
_atom_site_occupancy
Pr1 Pr 0.0000 0.0000 0.0000 1
Pr2 Pr 0.1390 0.1718 0.3341 1
In1 In 0.0000 0.1262 0.6231 1
Te1 Te 0.2001 0.0000 0.0000 1
```

# 2
Compound: La3SbS2
Source: Alexandria
Functional: GGA-PBE
Structure: relaxed

Summary:
Calculated volume ... 28.65 Å³ per atom
ΔE_f (raw) ... -10.9 eV/f.u.
Spin magnetization ... 0.00 μB/atom
Relative energy among the computed polymorphs ... 0.0 kJ per mole of atoms

CIF file:
```
data_La3SbS2
_chemical_formula_sum 'La6 Sb2 S4'
_symmetry_space_group_name_H-M 'I m m m'
_symmetry_Int_Tables_number 71
_symmetry_space_group_name_Hall '-I 2 2'
_cell_length_a 4.3124
_cell_length_b 6.1591
_cell_length_c 12.9447
_cell_angle_alpha 90.00
_cell_angle_beta 90.00
_cell_angle_gamma 90.00
loop_
_atom_site_label
_atom_site_type_symbol
_atom_site_fract_x
_atom_site_fract_y
_atom_site_fract_z
_atom_site_occupancy
La1 La 0.0000 0.0000 0.0000 1
La2 La 0.0000 0.0000 0.3202 1
Sb1 Sb 0.0000 0.5000 0.0000 1
S1 S 0.0000 0.5000 0.3364 1
```

# 3
Compound: GdPuCuSi
Source: Alexandria
Functional: GGA-PBE
Structure: relaxed

Summary:
Calculated volume ... 21.72 Å³ per atom
ΔE_f (raw) ... -1.0 eV/f.u.
Spin magnetization ... 0.24 μB/atom

CIF file:
```
data_GdPuCuSi
_chemical_formula_sum 'Gd4 Pu4 Cu4 Si4'
_symmetry_space_group_name_H-M 'F -4 3 m'
_symmetry_Int_Tables_number 216
_symmetry_space_group_name_Hall 'F -4 2 3'
_cell_length_a 7.0306
_cell_length_b 7.0306
_cell_length_c 7.0306
_cell_angle_alpha 90.00
_cell_angle_beta 90.00
_cell_angle_gamma 90.00
loop_
_atom_site_label
_atom_site_type_symbol
_atom_site_fract_x
_atom_site_fract_y
_atom_site_fract_z
_atom_site_occupancy
Gd1 Gd 0.0000 0.0000 0.0000 1
Pu1 Pu 0.0000 0.0000 0.5000 1
Cu1 Cu 0.2500 0.2500 0.7500 1
Si1 Si 0.2500 0.2500 0.2500 1
```

# 4
Compound: GdTmCdAg
Source: Alexandria
Functional: GGA-PBE
Structure: relaxed

Summary:
Calculated volume ... 25.11 Å³ per atom
Formation enthalpy at 0 K ... -1.21 eV/f.u.
Spin magnetization ... 1.80 μB/atom

CIF file:
```
data_GdTmCdAg
_chemical_formula_sum 'Gd4 Tm4 Cd4 Ag4'
_symmetry_space_group_name_H-M 'F -4 3 m'
_symmetry_Int_Tables_number 216
_symmetry_space_group_name_Hall 'F -4 2 3'
_cell_length_a 7.3789
_cell_length_b 7.3789
_cell_length_c 7.3789
_cell_angle_alpha 90.00
_cell_angle_beta 90.00
_cell_angle_gamma 90.00
loop_
_atom_site_label
_atom_site_type_symbol
_atom_site_fract_x
_atom_site_fract_y
_atom_site_fract_z
_atom_site_occupancy
Gd1 Gd 0.0000 0.0000 0.0000 1
Tm1 Tm 0.0000 0.0000 0.5000 1
Cd1 Cd 0.2500 0.2500 0.2500 1
Ag1 Ag 0.2500 0.2500 0.7500 1
```

# 5
Compound: Fe5Tc
Source: Alexandria
Functional: GGA-PBE
Structure: relaxed

Summary:
Calculated volume ... 11.26 Å³ per atom
Formation enthalpy at 0 K ... 0.52 eV/f.u.
Spin magnetization ... 0.16 μB/atom
Relative energy among the computed polymorphs ... 6.0 kJ per mole of atoms

CIF file:
```
data_Fe5Tc
_chemical_formula_sum 'Fe10 Tc2'
_symmetry_space_group_name_H-M 'A m m 2'
_symmetry_Int_Tables_number 38
_cell_length_a 4.0345
_cell_length_b 2.5136
_cell_length_c 13.3188
_cell_angle_alpha 90.00
_cell_angle_beta 90.00
_cell_angle_gamma 90.00
loop_
_symmetry_equiv_pos_as_xyz
'x,y,z'
'-x,-y,z'
'-x,y,z'
'x,-y,z'
'x,y+1/2,z+1/2'
'-x,-y+1/2,z+1/2'
'-x,y+1/2,z+1/2'
'x,-y+1/2,z+1/2'
loop_
_atom_site_label
_atom_site_type_symbol
_atom_site_fract_x
_atom_site_fract_y
_atom_site_fract_z
_atom_site_occupancy
Fe1 Fe 0.0000 0.0000 0.0000 1
Fe2 Fe 0.0000 0.0000 0.3226 1
Fe3 Fe 0.0000 0.0000 0.6601 1
Fe4 Fe 0.5000 0.0000 0.1085 1
Fe5 Fe 0.5000 0.0000 0.7648 1
Tc1 Tc 0.5000 0.0000 0.4359 1
```

# 6
Compound: Pm3Al2Zn9
Source: Alexandria
Functional: GGA-PBE
Structure: relaxed

Summary:
Calculated volume ... 18.91 Å³ per atom
Formation enthalpy at 0 K ... -4.90 eV/f.u.
Spin magnetization ... 0.00 μB/atom

CIF file:
```
data_Pm3Al2Zn9
_chemical_formula_sum 'Pm6 Al4 Zn18'
_symmetry_space_group_name_H-M 'I m m m'
_symmetry_Int_Tables_number 71
_symmetry_space_group_name_Hall '-I 2 2'
_cell_length_a 4.4331
_cell_length_b 9.0761
_cell_length_c 13.1621
_cell_angle_alpha 90.00
_cell_angle_beta 90.00
_cell_angle_gamma 90.00
loop_
_atom_site_label
_atom_site_type_symbol
_atom_site_fract_x
_atom_site_fract_y
_atom_site_fract_z
_atom_site_occupancy
Pm1 Pm 0.0000 0.0000 0.0000 1
Pm2 Pm 0.0000 0.0000 0.2936 1
Al1 Al 0.0000 0.1905 0.5000 1
Zn1 Zn 0.0000 0.2808 0.1403 1
Zn2 Zn 0.0000 0.3618 0.3424 1
Zn3 Zn 0.0000 0.5000 0.0000 1
```

# 7
Compound: Tb5Dy2Er5
Source: Alexandria
Functional: GGA-PBE
Structure: relaxed

Summary:
Calculated volume ... 31.01 Å³ per atom
Formation enthalpy at 0 K ... 0.22 eV/f.u.
Spin magnetization ... 0.00 μB/atom

CIF file:
```
data_Tb5Dy2Er5
_chemical_formula_sum 'Tb10 Dy4 Er10'
_symmetry_space_group_name_H-M 'C 1 2/m 1'
_symmetry_Int_Tables_number 12
_cell_length_a 14.9553
_cell_length_b 4.9900
_cell_length_c 11.1486
_cell_angle_alpha 90.00
_cell_angle_beta 116.56
_cell_angle_gamma 90.00
loop_
_symmetry_equiv_pos_as_xyz
'x,y,z'
'-x,-y,-z'
'-x,y,-z'
'x,-y,z'
'x+1/2,y+1/2,z'
'-x+1/2,-y+1/2,-z'
'-x+1/2,y+1/2,-z'
'x+1/2,-y+1/2,z'
loop_
_atom_site_label
_atom_site_type_symbol
_atom_site_fract_x
_atom_site_fract_y
_atom_site_fract_z
_atom_site_occupancy
Tb1 Tb 0.0000 0.0000 0.0000 1
Tb2 Tb 0.1661 0.0000 0.4996 1
Tb3 Tb 0.2495 0.0000 0.2491 1
Dy1 Dy 0.0832 0.0000 0.7506 1
Er1 Er 0.0000 0.5000 0.5000 1
Er2 Er 0.0830 0.5000 0.2497 1
Er3 Er 0.1670 0.5000 0.0004 1
```

# 8
Compound: PaGaGe
Source: Alexandria
Functional: GGA-PBE
Structure: relaxed

Summary:
Calculated volume ... 20.76 Å³ per atom
Formation enthalpy at 0 K ... -0.92 eV/f.u.
Spin magnetization ... 0.00 μB/atom
Relative energy among the computed polymorphs ... 1.5 kJ per mole of atoms

CIF file:
```
data_PaGaGe
_chemical_formula_sum 'Pa4 Ga4 Ge4'
_symmetry_space_group_name_H-M 'I m m m'
_symmetry_Int_Tables_number 71
_symmetry_space_group_name_Hall '-I 2 2'
_cell_length_a 4.1213
_cell_length_b 7.6763
_cell_length_c 7.8726
_cell_angle_alpha 90.00
_cell_angle_beta 90.00
_cell_angle_gamma 90.00
loop_
_atom_site_label
_atom_site_type_symbol
_atom_site_fract_x
_atom_site_fract_y
_atom_site_fract_z
_atom_site_occupancy
Pa1 Pa 0.0000 0.0000 0.2423 1
Ga1 Ga 0.0000 0.3414 0.0000 1
Ge1 Ge 0.0000 0.3301 0.5000 1
```

# 9
Compound: Ho12Tm5Sc2
Source: Alexandria
Functional: GGA-PBE
Structure: relaxed

Summary:
Calculated volume ... 30.34 Å³ per atom
Formation enthalpy at 0 K ... 1.74 eV/f.u.
Spin magnetization ... 0.00 μB/atom
Relative energy among the computed polymorphs ... 0.0 kJ per mole of atoms

CIF file:
```
data_Ho12Tm5Sc2
_chemical_formula_sum 'Ho12 Tm5 Sc2'
_symmetry_space_group_name_H-M 'P -1'
_symmetry_Int_Tables_number 2
_cell_length_a 6.3235
_cell_length_b 8.8061
_cell_length_c 11.1682
_cell_angle_alpha 109.76
_cell_angle_beta 92.95
_cell_angle_gamma 97.91
loop_
_symmetry_equiv_pos_as_xyz
'x,y,z'
'-x,-y,-z'
loop_
_atom_site_label
_atom_site_type_symbol
_atom_site_fract_x
_atom_site_fract_y
_atom_site_fract_z
_atom_site_occupancy
Ho1 Ho 0.0041 0.4026 0.2205 1
Ho2 Ho 0.0265 0.1946 0.6405 1
Ho3 Ho 0.1975 0.1751 0.3588 1
Ho4 Ho 0.3114 0.0086 0.8046 1
Ho5 Ho 0.4480 0.6578 0.2612 1
Ho6 Ho 0.4580 0.2629 0.1272 1
Tm1 Tm 0.1538 0.8651 0.0732 1
Tm2 Tm 0.2791 0.6030 0.5373 1
Tm3 Tm 0.5000 0.0000 0.5000 1
Sc1 Sc 0.2352 0.4497 0.9644 1
```

# 10
Compound: LaIr3
Source: Alexandria
Functional: GGA-PBE
Structure: relaxed

Summary:
Calculated volume ... 17.38 Å³ per atom
Formation enthalpy at 0 K ... 1.19 eV/f.u.
Spin magnetization ... 0.00 μB/atom

CIF file:
```
data_LaIr3
_chemical_formula_sum 'La3 Ir9'
_symmetry_space_group_name_H-M 'R -3 m'
_symmetry_Int_Tables_number 166
_symmetry_space_group_name_Hall '-R 3 2"'
_cell_length_a 2.8494
_cell_length_b 2.8494
_cell_length_c 29.6533
_cell_angle_alpha 90.00
_cell_angle_beta 90.00
_cell_angle_gamma 120.00
loop_
_atom_site_label
_atom_site_type_symbol
_atom_site_fract_x
_atom_site_fract_y
_atom_site_fract_z
_atom_site_occupancy
La1 La 0.0000 0.0000 0.0000 1
Ir1 Ir 0.0000 0.0000 0.2398 1
Ir2 Ir 0.0000 0.0000 0.5000 1
```

# 11
Compound: Au2SeBr
Source: Alexandria
Functional: GGA-PBE
Structure: relaxed

Summary:
Calculated volume ... 28.15 Å³ per atom
ΔE_f (raw) ... 0.8 eV/f.u.
Spin magnetization ... 0.00 μB/atom
Relative energy among the computed polymorphs ... 18.3 kJ per mole of atoms

CIF file:
```
data_Au2SeBr
_chemical_formula_sum 'Au4 Se2 Br2'
_symmetry_space_group_name_H-M 'C m m m'
_symmetry_Int_Tables_number 65
_symmetry_space_group_name_Hall '-C 2 2'
_cell_length_a 3.6995
_cell_length_b 7.9493
_cell_length_c 7.6590
_cell_angle_alpha 90.00
_cell_angle_beta 90.00
_cell_angle_gamma 90.00
loop_
_atom_site_label
_atom_site_type_symbol
_atom_site_fract_x
_atom_site_fract_y
_atom_site_fract_z
_atom_site_occupancy
Au1 Au 0.0000 0.0000 0.2359 1
Se1 Se 0.0000 0.5000 0.0000 1
Br1 Br 0.0000 0.5000 0.5000 1
```

# 12
Compound: TlSn2IO
Source: Alexandria
Functional: GGA-PBE
Structure: relaxed

Summary:
Calculated volume ... 40.08 Å³ per atom
ΔE_f (raw) ... 4.9 eV/f.u.
Spin magnetization ... 0.00 μB/atom

CIF file:
```
data_TlSn2IO
_chemical_formula_sum 'Tl1 Sn2 I1 O1'
_symmetry_space_group_name_H-M 'P 4/m m m'
_symmetry_Int_Tables_number 123
_symmetry_space_group_name_Hall '-P 4 2'
_cell_length_a 5.8324
_cell_length_b 5.8324
_cell_length_c 5.8910
_cell_angle_alpha 90.00
_cell_angle_beta 90.00
_cell_angle_gamma 90.00
loop_
_atom_site_label
_atom_site_type_symbol
_atom_site_fract_x
_atom_site_fract_y
_atom_site_fract_z
_atom_site_occupancy
Tl1 Tl 0.0000 0.0000 0.0000 1
Sn1 Sn 0.0000 0.5000 0.0000 1
I1 I 0.0000 0.0000 0.5000 1
O1 O 0.5000 0.5000 0.5000 1
```

Which formula does entry 4 have? GdTmCdAg

What is the calculated volume in the sixth record? 18.91 Å³ per atom